# GGA+U CaLaFe2O6, optimized geometry
# Symmetry: No. 31
# Calculated volume (Å³/cell): 237.12
# Raw total energy (eV per atom): -7.03
# Density of states at the Fermi level (states/eV/cell): 2.46
data_CaLaFe2O6
_chemical_formula_sum 'Ca2 La2 Fe4 O12'
_space_group_name_H-M_alt 'P 1'
_space_group_IT_number 1
_cell_length_a 7.787
_cell_length_b 5.543
_cell_length_c 5.493
_cell_angle_alpha 90.00
_cell_angle_beta 90.00
_cell_angle_gamma 90.00
loop_
_space_group_symop_operation_xyz
'x,y,z'
loop_
_atom_site_label
_atom_site_type_symbol
_atom_site_fract_x
_atom_site_fract_y
_atom_site_fract_z
Ca1 Ca 0.000 0.207 0.000
Ca2 Ca 0.500 0.793 0.500
La1 La 0.000 0.717 0.516
La2 La 0.500 0.283 0.016
Fe1 Fe 0.249 0.250 0.510
Fe2 Fe 0.251 0.750 0.010
Fe3 Fe 0.749 0.750 0.010
Fe4 Fe 0.751 0.250 0.510
O1 O 0.000 0.265 0.430
O2 O 0.000 0.769 0.080
O3 O 0.209 0.462 0.797
O4 O 0.212 0.966 0.726
O5 O 0.288 0.034 0.226
O6 O 0.291 0.538 0.297
O7 O 0.500 0.231 0.580
O8 O 0.500 0.735 0.930
O9 O 0.709 0.538 0.297
O10 O 0.712 0.034 0.226
O11 O 0.788 0.966 0.726
O12 O 0.791 0.462 0.797